# 1
{
  "formula": "Pa2VNi",
  "functional": "GGA-PBE",
  "state": "relaxed",
  "cell": [[2.9767, 0.0000, 0.0000], [1.4884, 2.5779, 0.0000], [1.4884, 0.8593, 10.0440]],
  "species": ["Ni", "Pa", "Pa", "V"],
  "frac_coords": [[0.0000, 0.0000, 0.0000], [0.0840, 0.0840, 0.7479], [0.9160, 0.9160, 0.2521], [0.5000, 0.5000, 0.5000]],
  "total_energy_ev_per_atom": -8.063,
  "mass_density_g_cm3": 12.32,
  "space_group": "R-3m (166)",
  "e_form_mev_per_atom": 410
}

=====

# 2
{
  "formula": "PaVNi2",
  "functional": "GGA-PBE",
  "state": "relaxed",
  "cell": [[3.8425, 0.0000, 0.0000], [0.0000, 3.9818, 0.0000], [0.0000, 0.0000, 3.9818]],
  "species": ["Ni", "Ni", "Pa", "V"],
  "frac_coords": [[0.0000, 0.0000, 0.5000], [0.0000, 0.5000, 0.0000], [0.5000, 0.5000, 0.5000], [0.5000, 0.0000, 0.0000]],
  "total_energy_ev_per_atom": -7.659,
  "mass_density_g_cm3": 10.89,
  "space_group": "P4/mmm (123)",
  "e_form_mev_per_atom": -115
}

=====

# 3
{
  "formula": "PaV2Ni",
  "functional": "GGA-PBE",
  "state": "relaxed",
  "cell": [[-0.8368, -2.8485, 1.3634], [2.5058, -1.4573, -1.5068], [3.3980, 1.1666, 4.5227]],
  "species": ["Ni", "Pa", "V", "V"],
  "frac_coords": [[0.5000, 0.5000, 0.5000], [0.5000, 0.5000, 0.0000], [0.0000, 0.0000, 0.7334], [0.0000, 0.0000, 0.2666]],
  "total_energy_ev_per_atom": -8.155,
  "mass_density_g_cm3": 10.55,
  "space_group": "P4/mmm (123)",
  "e_form_mev_per_atom": 224
}

=====

# 4
{
  "formula": "PaVNi3",
  "functional": "GGA-PBE",
  "state": "relaxed",
  "cell": [[4.8551, -0.0016, -0.0003], [-0.0023, 6.0322, 0.0002], [0.0011, -3.0162, 5.2221]],
  "species": ["Pa", "Pa", "V", "V", "Ni", "Ni", "Ni", "Ni", "Ni", "Ni"],
  "frac_coords": [[0.7499, 0.6667, 0.3334], [0.2501, 0.3333, 0.6666], [0.0000, 0.0000, 0.0000], [0.5000, 0.0000, 0.0000], [0.7501, 0.5989, 0.7996], [0.2499, 0.7994, 0.5988], [0.2499, 0.4011, 0.2004], [0.7501, 0.2006, 0.4012], [0.2499, 0.7993, 0.2004], [0.7501, 0.2007, 0.7996]],
  "total_energy_ev_per_atom": -7.332,
  "mass_density_g_cm3": 9.95,
  "space_group": "P6_3/mmc (194)",
  "e_form_mev_per_atom": -140
}

=====

# 5
{
  "formula": "Pa2VNi9",
  "functional": "GGA-PBE",
  "state": "relaxed",
  "cell": [[-2.7071, -1.7627, 2.0815], [2.4772, -2.8164, 0.8367], [3.2742, 5.5383, 8.9483]],
  "species": ["Pa", "Pa", "V", "Ni", "Ni", "Ni", "Ni", "Ni", "Ni", "Ni", "Ni", "Ni"],
  "frac_coords": [[0.0000, 0.0000, 0.3183], [0.0000, 0.0000, 0.6817], [0.0000, 0.0000, 0.0000], [0.5000, 0.5000, 0.0000], [0.5000, 0.5000, 0.3309], [0.5000, 0.5000, 0.6691], [0.5000, 0.0000, 0.1540], [0.5000, 0.0000, 0.5000], [0.5000, 0.0000, 0.8460], [0.0000, 0.5000, 0.1540], [0.0000, 0.5000, 0.5000], [0.0000, 0.5000, 0.8460]],
  "total_energy_ev_per_atom": -6.905,
  "mass_density_g_cm3": 10.62,
  "space_group": "P4/mmm (123)",
  "e_form_mev_per_atom": -226
}

=====

# 6
{
  "formula": "PaV2Ni9",
  "functional": "GGA-PBE",
  "state": "relaxed",
  "cell": [[-4.6262, 0.5109, 0.9688], [-1.7585, -1.6058, 4.1147], [-0.6713, 6.5383, 5.0111]],
  "species": ["Pa", "V", "V", "Ni", "Ni", "Ni", "Ni", "Ni", "Ni", "Ni", "Ni", "Ni"],
  "frac_coords": [[0.0000, 0.0000, 0.0000], [0.8504, 0.8504, 0.4489], [0.1496, 0.1496, 0.5511], [0.6664, 0.6664, 0.0007], [0.3336, 0.3336, 0.9993], [0.5000, 0.5000, 0.5000], [0.4109, 0.4109, 0.2614], [0.9169, 0.4109, 0.2614], [0.4109, 0.9169, 0.2614], [0.5891, 0.5891, 0.7386], [0.5891, 0.0831, 0.7386], [0.0831, 0.5891, 0.7386]],
  "total_energy_ev_per_atom": -6.857,
  "mass_density_g_cm3": 9.37,
  "space_group": "R-3m (166)",
  "e_form_mev_per_atom": -209
}

=====

# 7
{
  "formula": "Pa2NiW",
  "functional": "GGA-PBE",
  "state": "relaxed",
  "cell": [[-2.0452, 1.2606, -1.7814], [-2.6778, -1.2863, -0.3467], [-5.1687, 5.3414, 7.2031]],
  "species": ["Ni", "Pa", "Pa", "W"],
  "frac_coords": [[0.0000, 0.0000, 0.0000], [0.0825, 0.0826, 0.7524], [0.9175, 0.9174, 0.2476], [0.5000, 0.5000, 0.5000]],
  "total_energy_ev_per_atom": -8.966,
  "mass_density_g_cm3": 14.80,
  "space_group": "R-3m (166)",
  "e_form_mev_per_atom": 466
}

=====

# 8
{
  "formula": "PaNi4W",
  "functional": "GGA-PBE",
  "state": "relaxed",
  "cell": [[4.9091, 0.0000, 0.0000], [2.4546, 4.2514, 0.0000], [2.4546, 1.4171, 4.0083]],
  "species": ["Ni", "Ni", "Ni", "Ni", "Pa", "W"],
  "frac_coords": [[0.6236, 0.6236, 0.1291], [0.6236, 0.1291, 0.6236], [0.6236, 0.6236, 0.6236], [0.1291, 0.6236, 0.6236], [0.0000, 0.0000, 0.0000], [0.2500, 0.2500, 0.2500]],
  "total_energy_ev_per_atom": -7.695,
  "mass_density_g_cm3": 12.90,
  "space_group": "F-43m (216)",
  "e_form_mev_per_atom": -99
}